Material: NdMgCdPt
Method: DFT, PBE-GGA
State: relaxed

The value obtained for the mass density is 8.89 g cm⁻³. Its total energy is -3.91 eV per atom.

Cell: 7.0861 7.0861 7.0861 Å, 90.00 90.00 90.00°
Last column: nearest neighbours and their distance in Å.
Space group F-43m (No. 216)
Symmetry-distinct sites (fractional):
1 Nd 0.0000 0.0000 0.0000 x4  4 Cd 3.07, 4 Pt 3.07
2 Mg 0.0000 0.0000 0.5000 x4  4 Cd 3.07, 4 Pt 3.07
3 Cd 0.2500 0.2500 0.2500 x4  4 Mg 3.07, 4 Nd 3.07
4 Pt 0.2500 0.2500 0.7500 x4  4 Mg 3.07, 4 Nd 3.07

Material: ErNi2Hg
Method: DFT, PBE-GGA
State: relaxed

The value obtained for the mass density is 11.99 g cm⁻³. Its total energy is -4.36 eV per atom.

Cell: 6.4540 6.4540 6.4540 Å, 90.00 90.00 90.00°
Last column: nearest neighbours and their distance in Å.
Space group Fm-3m (No. 225)
Symmetry-distinct sites (fractional):
1 Er 0.0000 0.0000 0.0000 x4  8 Ni 2.79
2 Ni 0.2500 0.2500 0.2500 x8  4 Hg 2.79, 4 Er 2.79
3 Hg 0.0000 0.0000 0.5000 x4  8 Ni 2.79

Material: Pm5Pr2Y4
Method: DFT, PBE-GGA
State: relaxed

The value obtained for the mass density is 6.05 g cm⁻³. Its total energy is -5.36 eV per atom.

Cell: 23.8466 3.6354 8.9011 Å, 90.00 104.40 90.00°
Last column: nearest neighbours and their distance in Å.
Space group C2/m (No. 12)
Symmetry-distinct sites (fractional):
1 Pm 0.0000 0.0000 0.0000 x2  4 Y 3.63, 6 Pm 3.64, 2 Pr 3.64
2 Pm 0.1364 0.5000 0.0928 x4  3 Y 3.61-3.62, 7 Pm 3.63-3.68, 2 Pr 3.66
3 Pm 0.2276 0.5000 0.8152 x4  3 Y 3.60-3.62, 7 Pm 3.63-3.68, 2 Pr 3.65
4 Pr 0.0908 0.0000 0.7259 x4  5 Y 3.63-3.65, 2 Pr 3.64, 5 Pm 3.64-3.66
5 Y 0.0462 0.5000 0.3633 x4  3 Pm 3.61-3.63, 5 Y 3.62-3.67, 4 Pr 3.63-3.65
6 Y 0.1819 0.0000 0.4540 x4  5 Pm 3.60-3.62, 6 Y 3.62-3.64, 1 Pr 3.63